VASP calculation (GGA-PBEsol) on Co2As after structural relaxation.

a = 5.8984 Å, b = 5.8984 Å, c = 3.4757 Å
α = 90.00°, β = 90.00°, γ = 120.00°
Closest atoms and distances in Å follow each position.
Element x y z (fractional)
1 Co 0.0000 0.2556 0.0000  4 As 2.23-2.30
2 Co 0.0000 0.5979 0.5000  5 As 2.37-2.50
3 Co 0.2556 0.0000 0.0000  4 As 2.23-2.30
4 Co 0.4021 0.4021 0.5000  5 As 2.37-2.50
5 Co 0.5979 0.0000 0.5000  5 As 2.37-2.50
6 Co 0.7444 0.7444 0.0000  4 As 2.23-2.30
7 As 0.0000 0.0000 0.5000  9 Co 2.30-2.37
8 As 0.3333 0.6667 0.0000  3 Co 2.23
9 As 0.6667 0.3333 0.0000  3 Co 2.23

Values from the calculation:
- VASP energy (eV/cell) = -63.37
- symmetry = P-62m, No. 189